(1)
Entry from Alexandria via LeMat-Bulk: Ac7Nd12Ho after structural relaxation (PBE).

a b c (Å): 12.1398 12.1398 12.1398
angles (deg): 90.00 90.00 90.00
Space group Im-3 (No. 204)
Unique sites:
1 Ac 0.0000 0.0000 0.5000
2 Ac 0.2500 0.2500 0.2500
3 Nd 0.0000 0.3090 0.2375
4 Ho 0.0000 0.0000 0.0000

## Properties
As for the energy of formation from the pure elements: 809 meV per atom.

=====

(2)
Entry from Alexandria via LeMat-Bulk: RbSrCS2 after structural relaxation (PBE).

a b c (Å): 5.5699 5.5699 9.3134
angles (deg): 90.00 90.00 90.00
Space group P4/mmm (No. 123)
Unique sites:
1 Rb 0.0000 0.0000 0.0000
2 Sr 0.0000 0.0000 0.5000
3 C 0.5000 0.5000 0.0000
4 S 0.0000 0.5000 0.5000

## Properties
The uncorrected formation energy comes out at 0.9806 eV/atom.

=====

(3)
Entry from Alexandria via LeMat-Bulk: DyMgMoS4 after structural relaxation (PBE).

a b c (Å): 7.6590 7.7229 10.6780
angles (deg): 90.00 90.00 90.00
Space group Imma (No. 74)
Unique sites:
1 Dy 0.0000 0.0000 0.0000
2 Mg 0.0000 0.2500 0.3771
3 Mo 0.2500 0.2500 0.7500
4 S 0.0000 0.0299 0.7445
5 S 0.2454 0.2500 0.9863

## Properties
The uncorrected formation energy comes out at -1.2238 eV/atom.

=====

(4)
Entry from Alexandria via LeMat-Bulk: ReTc2Os3 after structural relaxation (PBE).

a b c (Å): 12.6262 4.3708 7.3236
angles (deg): 90.00 115.34 90.00
Space group C2/m (No. 12)
Unique sites:
1 Re 0.1127 0.0000 0.0735
2 Tc 0.0239 0.5000 0.1983
3 Tc 0.1834 0.0000 0.4806
4 Os 0.0464 0.0000 0.6767
5 Os 0.1631 0.5000 0.6823
6 Os 0.2213 0.5000 0.0865

## Properties
As for the energy of formation from the pure elements: 296 meV per atom.

=====

Going through the records in order, we get volume values of 44.7, 57.8, 22.6, 15.2 Å³/atom.